No. 1
LiPbBr2 | PBE-GGA | relaxed

Lattice parameters (Å, degrees): 3.5935 4.3197 14.6091 90.00 90.00 90.00
Last column: nearest neighbours and their distance in Å.
Space group Imm2 (No. 44)
Asymmetric unit:
1 Li 0.0000 0.0000 0.0000 [2 per cell]  2 Br 2.57
2 Pb 0.0000 0.5000 0.7336 [2 per cell]  2 Br 3.06
3 Br 0.0000 0.0000 0.5855 [2 per cell]  2 Pb 3.06, 4 Li 3.07
4 Br 0.0000 0.5000 0.3743 [2 per cell]  2 Li 2.57

Calculated values
- Fermi-level density of states: 1.3 states/eV/cell
- Volume: 28.35 Å³ per atom
- Raw formation energy: -0.862 eV per atom
- Crystal system: orthorhombic
- Total energy: -24.83 eV/cell
- Excess energy over the best structure of this formula in the dataset: 85 meV per atom

No. 2
LiPbBr2 | PBE-GGA | relaxed

Lattice parameters (Å, degrees): 7.5773 7.5773 7.5773 90.00 90.00 90.00
Last column: nearest neighbours and their distance in Å.
Space group Fm-3m (No. 225)
Asymmetric unit:
1 Li 0.0000 0.0000 0.0000 [4 per cell]  8 Br 3.28
2 Pb 0.0000 0.0000 0.5000 [4 per cell]  8 Br 3.28
3 Br 0.2500 0.2500 0.2500 [8 per cell]  4 Pb 3.28, 4 Li 3.28

Calculated values
- Fermi-level density of states: 6.9 states/eV/cell
- Volume: 27.19 Å³ per atom
- Raw formation energy: -0.648 eV per atom
- Crystal system: cubic
- Total energy: -46.24 eV/cell
- Excess energy over the best structure of this formula in the dataset: 299 meV per atom